The following is a DFT calculation (PBE-GGA) of a relaxed structure of InPOsO2.

a b c (Å): 3.8279 3.8279 5.2798
angles (deg): 90.00 90.00 90.00
Sites, in units of the cell vectors:
O  0.0000  0.5000  0.0000
O  0.5000  0.0000  0.0000
Os  0.0000  0.0000  0.0000
P  0.0000  0.0000  0.5000
In  0.5000  0.5000  0.5000

Results
The energy relative to the elements, uncorrected comes out at -0.45 eV/atom. As for the offset from the most stable computed form: 0 meV/atom. For the volume, the calculation gives 77.36 Å³ per cell.

The following is a DFT calculation (PBE-GGA) of a relaxed structure of InP2OsO.

a b c (Å): 4.9518 4.9518 3.6757
angles (deg): 90.00 90.00 90.00
Sites, in units of the cell vectors:
In  0.5000  0.5000  0.5000
P  0.0000  0.5000  0.0000
P  0.5000  0.0000  0.0000
Os  0.0000  0.0000  0.0000
O  0.0000  0.0000  0.5000

Results
The energy relative to the elements, uncorrected comes out at 0.07 eV/atom. As for the offset from the most stable computed form: 0 meV/atom. For the volume, the calculation gives 90.13 Å³ per cell.

The following is a DFT calculation (PBE-GGA) of a relaxed structure of InP2OsO.

a b c (Å): 4.9955 4.9955 3.9112
angles (deg): 90.00 90.00 90.00
Sites, in units of the cell vectors:
P  0.0000  0.5000  0.0000
P  0.5000  0.0000  0.0000
O  0.0000  0.0000  0.5000
Os  0.5000  0.5000  0.5000
In  0.0000  0.0000  0.0000

Results
The energy relative to the elements, uncorrected comes out at 1.44 eV/atom. As for the offset from the most stable computed form: 1363 meV/atom. For the volume, the calculation gives 97.60 Å³ per cell.

The following is a DFT calculation (PBE-GGA) of a relaxed structure of PaInOsO6.

a b c (Å): 5.4058 5.4058 9.4719
angles (deg): 90.00 90.00 120.00
Sites, in units of the cell vectors:
O  0.9744  0.6486  0.3679
O  0.9744  0.3258  0.1321
O  0.6486  0.6742  0.6321
O  0.3514  0.0256  0.1321
O  0.3258  0.3514  0.8679
O  0.0256  0.3514  0.6321
O  0.0256  0.6742  0.8679
O  0.6742  0.0256  0.3679
O  0.3258  0.9744  0.6321
O  0.6486  0.9744  0.8679
O  0.3514  0.3258  0.3679
O  0.6742  0.6486  0.1321
In  0.3333  0.6667  0.2500
In  0.6667  0.3333  0.7500
Pa  0.0000  0.0000  0.0000
Pa  0.0000  0.0000  0.5000
Os  0.6667  0.3333  0.2500
Os  0.3333  0.6667  0.7500

Results
The energy relative to the elements, uncorrected comes out at -2.01 eV/atom. For the volume, the calculation gives 239.71 Å³ per cell.

The following is a DFT calculation (PBE-GGA) of a relaxed structure of PaIn2OsO8.

a b c (Å): 4.9462 4.9471 6.6304
angles (deg): 90.00 90.00 91.45
Sites, in units of the cell vectors:
O  0.8155  0.1840  0.2287
O  0.6937  0.6931  0.5000
O  0.2871  0.2875  0.0000
O  0.1845  0.8160  0.7713
O  0.3063  0.3069  0.5000
O  0.7129  0.7125  0.0000
O  0.1845  0.8160  0.2287
O  0.8155  0.1840  0.7713
In  0.5000  0.5000  0.7608
In  0.5000  0.5000  0.2392
Os  0.0000  0.0000  0.0000
Pa  0.0000  0.0000  0.5000

Results
The energy relative to the elements, uncorrected comes out at -1.92 eV/atom. For the volume, the calculation gives 162.19 Å³ per cell.

The following is a DFT calculation (PBE-GGA) of a relaxed structure of InOs2PbO8.

a b c (Å): 5.9313 5.9313 7.1808
angles (deg): 90.00 90.00 120.00
Sites, in units of the cell vectors:
In  0.0000  0.0000  0.5000
O  0.1521  0.3168  0.7136
O  0.6667  0.3333  0.9844
O  0.3333  0.6667  0.0156
O  0.1647  0.8479  0.7136
O  0.6832  0.8353  0.7136
O  0.8479  0.6832  0.2864
O  0.3168  0.1647  0.2864
O  0.8353  0.1521  0.2864
Os  0.3333  0.6667  0.7664
Os  0.6667  0.3333  0.2336
Pb  0.0000  0.0000  0.0000

Results
The energy relative to the elements, uncorrected comes out at -0.85 eV/atom. For the volume, the calculation gives 218.78 Å³ per cell.

The following is a DFT calculation (PBE-GGA) of a relaxed structure of In2OsPbO8.

a b c (Å): 4.8712 4.8707 6.7487
angles (deg): 90.00 90.00 90.80
Sites, in units of the cell vectors:
Os  0.0000  0.0000  0.0000
O  0.2779  0.2776  0.0000
O  0.3122  0.3121  0.5000
O  0.1855  0.8143  0.7858
O  0.6878  0.6879  0.5000
O  0.7221  0.7224  0.0000
O  0.8145  0.1857  0.7858
O  0.1855  0.8143  0.2142
O  0.8145  0.1857  0.2142
In  0.5000  0.5000  0.2473
In  0.5000  0.5000  0.7527
Pb  0.0000  0.0000  0.5000

Results
The energy relative to the elements, uncorrected comes out at -1.17 eV/atom. For the volume, the calculation gives 160.10 Å³ per cell.

The following is a DFT calculation (PBE-GGA) of a relaxed structure of InOsPbO6.

a b c (Å): 6.7856 7.3474 7.0764
angles (deg): 121.28 118.65 90.00
Sites, in units of the cell vectors:
O  0.1810  0.4261  0.7508
O  0.1810  0.8247  0.7508
O  0.5699  0.4261  0.7508
O  0.5699  0.8247  0.7508
O  0.4301  0.5739  0.2492
O  0.1266  0.8766  0.2531
O  0.8190  0.1753  0.2492
O  0.5814  0.8314  0.1628
O  0.4301  0.1753  0.2492
O  0.8190  0.5739  0.2492
O  0.4186  0.1686  0.8372
O  0.8734  0.1234  0.7469
In  0.0000  0.0000  0.5000
In  0.5000  0.0000  0.5000
Os  0.5000  0.0000  0.0000
Os  0.5000  0.5000  0.0000
Pb  0.8824  0.6324  0.7649
Pb  0.1176  0.3676  0.2351

Results
The energy relative to the elements, uncorrected comes out at -1.04 eV/atom. For the volume, the calculation gives 249.62 Å³ per cell.

The following is a DFT calculation (PBE-GGA) of a relaxed structure of PrIn2OsO8.

a b c (Å): 4.9798 4.9752 6.7865
angles (deg): 90.00 90.00 89.60
Sites, in units of the cell vectors:
O  0.8128  0.1895  0.2011
O  0.2767  0.2746  0.0000
O  0.3206  0.3162  0.5000
O  0.1872  0.8105  0.7989
O  0.8128  0.1895  0.7990
O  0.1872  0.8105  0.2010
O  0.6794  0.6838  0.5000
O  0.7233  0.7254  0.0000
In  0.5000  0.5000  0.7516
In  0.5000  0.5000  0.2484
Os  0.0000  0.0000  0.0000
Pr  0.0000  0.0000  0.5000

Results
The energy relative to the elements, uncorrected comes out at -1.59 eV/atom. For the volume, the calculation gives 168.14 Å³ per cell.

The following is a DFT calculation (PBE-GGA) of a relaxed structure of RbInOs2O8.

a b c (Å): 5.5786 5.5786 8.4619
angles (deg): 90.00 90.00 120.00
Sites, in units of the cell vectors:
Rb  0.0000  0.0000  0.0000
O  0.7220  0.0555  0.3423
O  0.3336  0.2780  0.3423
O  0.9445  0.6664  0.3423
O  0.3333  0.6667  0.9368
O  0.6664  0.7220  0.6577
O  0.0555  0.3336  0.6577
O  0.2780  0.9445  0.6577
O  0.6667  0.3333  0.0632
Os  0.3333  0.6667  0.7276
Os  0.6667  0.3333  0.2724
In  0.0000  0.0000  0.5000

Results
The energy relative to the elements, uncorrected comes out at -1.07 eV/atom. For the volume, the calculation gives 228.06 Å³ per cell.

The following is a DFT calculation (PBE-GGA) of a relaxed structure of Rb2InOs3O12.

a b c (Å): 7.3988 7.3988 7.3988
angles (deg): 59.33 59.33 59.33
Sites, in units of the cell vectors:
O  0.3053  0.9254  0.3053
O  0.9218  0.3517  0.9218
O  0.9218  0.9218  0.3517
O  0.0782  0.0782  0.6483
O  0.0746  0.6947  0.6947
O  0.3053  0.3053  0.9254
O  0.6947  0.6947  0.0746
O  0.9254  0.3053  0.3053
O  0.6483  0.0782  0.0782
O  0.0782  0.6483  0.0782
O  0.6947  0.0746  0.6947
O  0.3517  0.9218  0.9218
Rb  0.6208  0.6208  0.6208
Rb  0.3792  0.3792  0.3792
Os  0.0000  0.0000  0.5000
Os  0.5000  0.0000  0.0000
Os  0.0000  0.5000  0.0000
In  0.0000  0.0000  0.0000

Results
The energy relative to the elements, uncorrected comes out at -1.21 eV/atom. For the volume, the calculation gives 282.03 Å³ per cell.

The following is a DFT calculation (PBE-GGA) of a relaxed structure of RbIn2OsO8.

a b c (Å): 5.1585 4.4944 7.1565
angles (deg): 89.89 89.97 91.00
Sites, in units of the cell vectors:
Os  0.0000  0.0000  0.0000
O  0.1476  0.7646  0.1813
O  0.8514  0.2343  0.1808
O  0.5155  0.7608  0.4999
O  0.1486  0.7657  0.8192
O  0.3144  0.2540  0.0002
O  0.6856  0.7460  0.9998
O  0.8524  0.2354  0.8187
O  0.4845  0.2392  0.5001
In  0.5001  0.4998  0.7587
In  0.4999  0.5002  0.2413
Rb  0.0000  0.0000  0.5000

Results
The energy relative to the elements, uncorrected comes out at -1.01 eV/atom. For the volume, the calculation gives 165.89 Å³ per cell.

The following is a DFT calculation (PBE-GGA) of a relaxed structure of RbInOsO2.

a b c (Å): 4.4680 5.3573 4.4680
angles (deg): 90.00 90.00 90.00
Sites, in units of the cell vectors:
O  0.5000  0.0000  0.0000
O  0.0000  0.0000  0.5000
Rb  0.5000  0.5000  0.5000
In  0.0000  0.0000  0.0000
Os  0.0000  0.5000  0.0000

Results
The energy relative to the elements, uncorrected comes out at 0.73 eV/atom. For the volume, the calculation gives 106.95 Å³ per cell.

The following is a DFT calculation (PBE-GGA) of a relaxed structure of Rb3InOs2O9.

a b c (Å): 5.7381 5.7381 7.0914
angles (deg): 90.00 90.00 120.00
Sites, in units of the cell vectors:
O  0.3527  0.1764  0.6868
O  0.1764  0.8236  0.3132
O  0.5000  0.5000  0.0000
O  0.1764  0.3527  0.3132
O  0.6473  0.8236  0.3132
O  0.5000  0.0000  0.0000
O  0.0000  0.5000  0.0000
O  0.8236  0.6473  0.6868
O  0.8236  0.1764  0.6868
Rb  0.0000  0.0000  0.0000
Rb  0.6667  0.3333  0.3402
Rb  0.3333  0.6667  0.6598
In  0.0000  0.0000  0.5000
Os  0.3333  0.6667  0.1573
Os  0.6667  0.3333  0.8427

Results
The energy relative to the elements, uncorrected comes out at -1.24 eV/atom. For the volume, the calculation gives 202.21 Å³ per cell.

The following is a DFT calculation (PBE-GGA) of a relaxed structure of In2OsSO.

a b c (Å): 4.8589 3.6023 4.8589
angles (deg): 90.00 90.00 90.00
Sites, in units of the cell vectors:
In  0.5000  0.0000  0.0000
In  0.0000  0.0000  0.5000
O  0.0000  0.0000  0.0000
S  0.0000  0.5000  0.0000
Os  0.5000  0.5000  0.5000

Results
The energy relative to the elements, uncorrected comes out at 0.57 eV/atom. For the volume, the calculation gives 85.05 Å³ per cell.

The following is a DFT calculation (PBE-GGA) of a relaxed structure of InSbOs2O.

a b c (Å): 4.1570 4.9523 4.1570
angles (deg): 90.00 90.00 90.00
Sites, in units of the cell vectors:
Os  0.0000  0.0000  0.5000
Os  0.5000  0.0000  0.0000
Sb  0.5000  0.5000  0.5000
O  0.0000  0.0000  0.0000
In  0.0000  0.5000  0.0000

Results
The energy relative to the elements, uncorrected comes out at 0.81 eV/atom. For the volume, the calculation gives 85.58 Å³ per cell.

The following is a DFT calculation (PBE-GGA) of a relaxed structure of ScInOsO6.

a b c (Å): 5.2621 5.2621 9.2244
angles (deg): 90.00 90.00 120.00
Sites, in units of the cell vectors:
Sc  0.3333  0.6667  0.2500
Sc  0.6667  0.3333  0.7500
O  0.0233  0.3627  0.6329
O  0.9767  0.3395  0.1329
O  0.3627  0.0233  0.1329
O  0.3627  0.3395  0.3671
O  0.3395  0.9767  0.6329
O  0.0233  0.6605  0.8671
O  0.9767  0.6373  0.3671
O  0.6373  0.9767  0.8671
O  0.6605  0.6373  0.1329
O  0.6605  0.0233  0.3671
O  0.6373  0.6605  0.6329
O  0.3395  0.3627  0.8671
Os  0.6667  0.3333  0.2500
Os  0.3333  0.6667  0.7500
In  0.0000  0.0000  0.5000
In  0.0000  0.0000  0.0000

Results
The energy relative to the elements, uncorrected comes out at -1.77 eV/atom. For the volume, the calculation gives 221.20 Å³ per cell.

The following is a DFT calculation (PBE-GGA) of a relaxed structure of SmIn2OsO8.

a b c (Å): 4.9734 4.9596 6.7004
angles (deg): 90.00 90.00 90.12
Sites, in units of the cell vectors:
O  0.1847  0.8110  0.7953
O  0.8153  0.1890  0.7953
O  0.6827  0.6893  0.5000
O  0.2787  0.2748  0.0000
O  0.1847  0.8110  0.2047
O  0.7213  0.7252  0.0000
O  0.8153  0.1890  0.2047
O  0.3173  0.3107  0.5000
Os  0.0000  0.0000  0.0000
In  0.5000  0.5000  0.2501
In  0.5000  0.5000  0.7499
Sm  0.0000  0.0000  0.5000

Results
The energy relative to the elements, uncorrected comes out at -1.63 eV/atom. For the volume, the calculation gives 165.27 Å³ per cell.

The following is a DFT calculation (PBE-GGA) of a relaxed structure of Sr2InOsO8.

a b c (Å): 5.2411 5.2320 7.1581
angles (deg): 90.00 90.00 93.17
Sites, in units of the cell vectors:
Sr  0.4994  0.5006  0.2496
Sr  0.5006  0.4994  0.7504
O  0.2578  0.2596  0.0000
O  0.1694  0.8314  0.1910
O  0.7272  0.7267  0.5000
O  0.1706  0.8303  0.8105
O  0.8306  0.1686  0.8090
O  0.7422  0.7404  0.0000
O  0.2728  0.2733  0.5000
O  0.8294  0.1697  0.1895
Os  0.0000  0.0000  0.0000
In  0.0000  0.0000  0.5000

Results
The energy relative to the elements, uncorrected comes out at -1.53 eV/atom. For the volume, the calculation gives 195.98 Å³ per cell.

The following is a DFT calculation (PBE-GGA) of a relaxed structure of SrInOs2O8.

a b c (Å): 6.1044 6.1044 7.8056
angles (deg): 90.00 90.00 120.00
Sites, in units of the cell vectors:
Sr  0.0000  0.0000  0.0000
O  0.6603  0.8299  0.7607
O  0.3333  0.6667  0.0521
O  0.1696  0.3397  0.7607
O  0.8304  0.6603  0.2393
O  0.1701  0.8304  0.7607
O  0.6667  0.3333  0.9479
O  0.8299  0.1696  0.2393
O  0.3397  0.1701  0.2393
Os  0.3333  0.6667  0.8244
Os  0.6667  0.3333  0.1756
In  0.0000  0.0000  0.5000

Results
The energy relative to the elements, uncorrected comes out at -1.21 eV/atom. For the volume, the calculation gives 251.90 Å³ per cell.

The following is a DFT calculation (PBE-GGA) of a relaxed structure of SrInOsO6.

a b c (Å): 5.4997 5.4997 10.4717
angles (deg): 90.00 90.00 120.00
Sites, in units of the cell vectors:
O  0.3927  0.3546  0.3538
O  0.0381  0.3927  0.6462
O  0.6073  0.6454  0.6462
O  0.0381  0.6454  0.8538
O  0.3546  0.3927  0.8538
O  0.3927  0.0381  0.1462
O  0.6454  0.6073  0.1462
O  0.3546  0.9619  0.6462
O  0.6454  0.0381  0.3538
O  0.9619  0.6073  0.3538
O  0.6073  0.9619  0.8538
O  0.9619  0.3546  0.1462
In  0.6667  0.3333  0.7500
In  0.3333  0.6667  0.2500
Os  0.6667  0.3333  0.2500
Os  0.3333  0.6667  0.7500
Sr  0.0000  0.0000  0.0000
Sr  0.0000  0.0000  0.5000

Results
The energy relative to the elements, uncorrected comes out at -1.57 eV/atom. For the volume, the calculation gives 274.30 Å³ per cell.